A relaxed NdGdMgZr crystal, computed with GGA-PBE.

Cell lengths 5.414, 5.414, 5.414 Å; angles 60.00, 60.00, 60.00 degrees
Sites, in units of the cell vectors:
Mg 0.000 0.000 0.000
Gd 0.250 0.250 0.250
Nd 0.750 0.750 0.750
Zr 0.500 0.500 0.500

Properties
Symmetry ... No. 216
ΔE_f ... 0.1430 eV/atom